Below is a geometry-optimized Ba2HPtSe structure, with properties calculated at the GGA-PBE level.

Lattice parameters (Å, degrees): 5.6405 5.6405 3.9130 90.00 90.00 90.00
With the nearest neighbours (Å) after each atom.
Atoms (fractional coordinates):
Se 0.5000 0.5000 0.5000  8 Ba 3.43
H 0.0000 0.0000 0.0000  2 Pt 1.96
Pt 0.0000 0.0000 0.5000  2 H 1.96
Ba 0.0000 0.5000 0.0000  2 H 2.82
Ba 0.5000 0.0000 0.0000  2 H 2.82

crystal system = tetragonal
SG = P4/mmm
energy = -4.4108 eV/atom
volume = 124.5 Å³/cell
Fermi-level density of states = 0.6 states/eV per cell